Material: LaTa2Os
Method: DFT, PBE
State: relaxed

It has space group R-3m (No. 166, hexagonal axes), with a = 3.0945 Å, b = 3.0945 Å, c = 29.5233 Å, α = 90.00°, β = 90.00° and γ = 120.00°. The inequivalent atoms are La at (0.0000, 0.0000, 0.0000), Ta at (0.0000, 0.0000, 0.2356) and Os at (0.0000, 0.0000, 0.5000).

As for the crystal system: trigonal. The calculation puts the total moment at 0.0 μB per cell. The calculated density comes out at 14.060 g/cm3. The calculation puts the offset from the most stable computed form at 34.5 kJ/mol of atoms. The value obtained for the formation energy is 1.8 eV per formula unit. The density of states at the Fermi level comes out at 4.945 states/eV/f.u.

Material: Re2BiB
Method: DFT, PBE
State: relaxed

It has space group Fm-3m (No. 225), with a = 6.264 Å, b = 6.264 Å, c = 6.264 Å, α = 90.00°, β = 90.00° and γ = 90.00°. The inequivalent atoms are Re at (0.250, 0.250, 0.250), Bi at (0.000, 0.000, 0.000) and B at (0.000, 0.000, 0.500).

As for the crystal system: cubic. The calculation puts the total moment at 0.0 μB per cell. The calculated density comes out at 16.002 g/cm3. The calculation puts the offset from the most stable computed form at 42.2 kJ/mol of atoms. The value obtained for the formation energy is 5.7 eV per formula unit. The density of states at the Fermi level comes out at 3.845 states/eV/f.u.

> Look up the offset from the most stable computed form of the first one.

34.5 kJ/mol of atoms

> formation energy of number 1 (LaTa2Os)?

1.8 eV per formula unit

> Number 2 is which compound?

Re2BiB

> The highest calculated density belongs to which entry?

Re2BiB